1.
Entry from the Alexandria database: an optimized crystal structure of K8Sb2As (PBE).

The calculation puts the density of states at the Fermi level at 33.11 states/eV per cell. Its formation energy without anion corrections is -346.5 meV per atom. Its total energy is -2.3169 eV/atom.

The space group is Cm (No. 8) and the conventional cell measures 10.3088, 18.5845 and 5.7724 Å, with angles of 90.00, 123.99 and 90.00 degrees. The asymmetric unit holds K at (0.0000, 0.0000, 0.0000), K at (0.0429, 0.1554, 0.5441), K at (0.0601, 0.2971, 0.0616), K at (0.1748, 0.5000, 0.1729), K at (0.3798, 0.0978, 0.3810), Sb at (0.2748, 0.3406, 0.7763) and As at (0.2751, 0.0000, 0.7763).

2.
Entry from the Alexandria database: an optimized crystal structure of KTcAg2 (PBE).

The calculation puts the density of states at the Fermi level at 12.49 states/eV per cell. As for the formation energy: 0.73 eV/atom. Its total energy is -3.5579 eV/atom.

The space group is R-3m (No. 166, hexagonal axes) and the conventional cell measures 2.9247, 2.9247 and 31.7812 Å, with angles of 90.00, 90.00 and 120.00 degrees. The asymmetric unit holds K at (0.0000, 0.0000, 0.0000), Tc at (0.0000, 0.0000, 0.5000) and Ag at (0.0000, 0.0000, 0.2402).

3.
Entry from the Alexandria database: an optimized crystal structure of HfTaAg2 (PBE).

The calculation puts the density of states at the Fermi level at 19.92 states/eV per cell. As for the formation energy: 0.38 eV/atom. Its total energy is -6.5002 eV/atom.

The space group is Fm-3m (No. 225) and the conventional cell measures 6.7077, 6.7077 and 6.7077 Å, with angles of 90.00, 90.00 and 90.00 degrees. The asymmetric unit holds Hf at (0.0000, 0.0000, 0.0000), Ta at (0.0000, 0.0000, 0.5000) and Ag at (0.2500, 0.2500, 0.2500).

4.
Entry from the Alexandria database: an optimized crystal structure of Cd4Ga4Sn (PBE).

The calculation puts the density of states at the Fermi level at 6.77 states/eV per cell. As for the formation energy: 0.05 eV/atom. Its total energy is -2.1439 eV/atom.

The space group is I4/mmm (No. 139) and the conventional cell measures 9.3714, 9.3714 and 4.4795 Å, with angles of 90.00, 90.00 and 90.00 degrees. The asymmetric unit holds Cd at (0.1713, 0.1713, 0.0000), Ga at (0.0000, 0.3416, 0.5000) and Sn at (0.0000, 0.0000, 0.5000).

5.
Entry from the Alexandria database: an optimized crystal structure of MoHSe2Br (PBE).

The calculation puts the density of states at the Fermi level at 3.38 states/eV per cell. Its total energy is -3.7765 eV/atom.

The space group is P4/mmm (No. 123) and the conventional cell measures 4.0047, 4.0047 and 6.1914 Å, with angles of 90.00, 90.00 and 90.00 degrees. The asymmetric unit holds Mo at (0.0000, 0.0000, 0.0000), H at (0.5000, 0.5000, 0.5000), Se at (0.0000, 0.5000, 0.5000) and Br at (0.5000, 0.5000, 0.0000).

6.
Entry from the Alexandria database: an optimized crystal structure of CuAg4Au (PBE).

The calculation puts the density of states at the Fermi level at 4.64 states/eV per cell. As for the formation energy: 0.10 eV/atom. Its total energy is -3.0281 eV/atom.

The space group is C2/m (No. 12) and the conventional cell measures 5.4084, 7.8983 and 5.6122 Å, with angles of 90.00, 117.76 and 90.00 degrees. The asymmetric unit holds Cu at (0.0000, 0.0000, 0.0000), Ag at (0.0151, 0.3172, 0.7580) and Au at (0.0000, 0.0000, 0.5000).

7.
Entry from the Alexandria database: an optimized crystal structure of In2Co2Tc (PBE).

The calculation puts the density of states at the Fermi level at 9.45 states/eV per cell. As for the formation energy: 0.30 eV/atom. Its total energy is -5.7066 eV/atom.

The space group is P4/mbm (No. 127) and the conventional cell measures 6.3004, 6.3004 and 3.9952 Å, with angles of 90.00, 90.00 and 90.00 degrees. The asymmetric unit holds In at (0.1787, 0.3213, 0.0000), Co at (0.1263, 0.6263, 0.5000) and Tc at (0.0000, 0.0000, 0.5000).

8.
Entry from the Alexandria database: an optimized crystal structure of LaInTeN2 (PBE).

The calculation puts the density of states at the Fermi level at 3.21 states/eV per cell. Its formation energy without anion corrections is 519.6 meV per atom. Its total energy is -4.9721 eV/atom.

The space group is P4/mmm (No. 123) and the conventional cell measures 4.3674, 4.3674 and 6.8385 Å, with angles of 90.00, 90.00 and 90.00 degrees. The asymmetric unit holds La at (0.0000, 0.0000, 0.0000), In at (0.5000, 0.5000, 0.5000), Te at (0.0000, 0.0000, 0.5000) and N at (0.0000, 0.5000, 0.0000).

9.
Entry from the Alexandria database: an optimized crystal structure of Ac6SbAs2P3 (PBE).

The calculation puts the density of states at the Fermi level at 1.94 states/eV per cell. Its formation energy without anion corrections is -1412.2 meV per atom. Its total energy is -5.9374 eV/atom.

The space group is C2/m (No. 12) and the conventional cell measures 19.8081, 4.5352 and 9.1009 Å, with angles of 90.00, 103.38 and 90.00 degrees. The asymmetric unit holds Ac at (0.0012, 0.0000, 0.2361), Ac at (0.1663, 0.5000, 0.0860), Ac at (0.1720, 0.5000, 0.5830), Sb at (0.0000, 0.5000, 0.5000), As at (0.1670, 0.0000, 0.8344), P at (0.0000, 0.5000, 0.0000) and P at (0.1665, 0.0000, 0.3317).

10.
Entry from the Alexandria database: an optimized crystal structure of InNi2Br (PBE).

The calculation puts the density of states at the Fermi level at 6.19 states/eV per cell. Its formation energy without anion corrections is 381.7 meV per atom. Its total energy is -3.6118 eV/atom.

The space group is I-4m2 (No. 119) and the conventional cell measures 3.6299, 3.6299 and 10.6440 Å, with angles of 90.00, 90.00 and 90.00 degrees. The asymmetric unit holds In at (0.0000, 0.0000, 0.0000), Ni at (0.0000, 0.0000, 0.5000), Ni at (0.0000, 0.5000, 0.7500) and Br at (0.0000, 0.5000, 0.2500).

11.
Entry from the Alexandria database: an optimized crystal structure of MgAsIr2 (PBE).

The calculation puts the density of states at the Fermi level at 3.25 states/eV per cell. As for the formation energy: -0.14 eV/atom. Its total energy is -6.1266 eV/atom.

The space group is Pm (No. 6) and the conventional cell measures 2.9336, 4.3653 and 5.0554 Å, with angles of 90.00, 106.05 and 90.00 degrees. The asymmetric unit holds Mg at (0.0000, 0.0000, 0.0000), As at (0.6147, 0.5000, 0.2505), Ir at (0.3557, 0.5000, 0.7319) and Ir at (0.7338, 0.0000, 0.4770).

12.
Entry from the Alexandria database: an optimized crystal structure of Ce2AlHg3 (PBE).

The calculation puts the density of states at the Fermi level at 91.58 states/eV per cell. As for the formation energy: -0.34 eV/atom. Its total energy is -3.0967 eV/atom.

The space group is Fmmm (No. 69) and the conventional cell measures 6.8360, 9.9176 and 17.2375 Å, with angles of 90.00, 90.00 and 90.00 degrees. The asymmetric unit holds Ce at (0.2163, 0.0000, 0.0000), Ce at (0.2500, 0.2500, 0.2500), Al at (0.0000, 0.0000, 0.3342), Hg at (0.0000, 0.0000, 0.1718) and Hg at (0.0000, 0.2360, 0.4149).

13.
Entry from the Alexandria database: an optimized crystal structure of YHfPSe2 (PBE).

The calculation puts the density of states at the Fermi level at 5.72 states/eV per cell. Its formation energy without anion corrections is 285.4 meV per atom. Its total energy is -5.4738 eV/atom.

The space group is P4/mmm (No. 123) and the conventional cell measures 4.9914, 4.9914 and 5.0651 Å, with angles of 90.00, 90.00 and 90.00 degrees. The asymmetric unit holds Y at (0.0000, 0.0000, 0.0000), Hf at (0.5000, 0.5000, 0.0000), P at (0.0000, 0.0000, 0.5000) and Se at (0.0000, 0.5000, 0.5000).

14.
Entry from the Alexandria database: an optimized crystal structure of Ba6SnPt2Br3 (PBE).

The calculation puts the density of states at the Fermi level at 12.44 states/eV per cell. Its formation energy without anion corrections is -1225.7 meV per atom. Its total energy is -3.9457 eV/atom.

The space group is C2/m (No. 12) and the conventional cell measures 21.4941, 4.6564 and 10.0193 Å, with angles of 90.00, 107.55 and 90.00 degrees. The asymmetric unit holds Ba at (0.0105, 0.0000, 0.2541), Ba at (0.1654, 0.5000, 0.1101), Ba at (0.1780, 0.5000, 0.5620), Sn at (0.0000, 0.5000, 0.0000), Pt at (0.1685, 0.0000, 0.3365), Br at (0.0000, 0.5000, 0.5000) and Br at (0.1657, 0.0000, 0.8306).

15.
Entry from the Alexandria database: an optimized crystal structure of RhCl5 (PBE).

The calculation puts the density of states at the Fermi level at 13.56 states/eV per cell. Its formation energy without anion corrections is 82.2 meV per atom. Its total energy is -2.6819 eV/atom.

The space group is Amm2 (No. 38) and the conventional cell measures 7.8197, 3.4844 and 12.0466 Å, with angles of 90.00, 90.00 and 90.00 degrees. The asymmetric unit holds Rh at (0.0000, 0.0000, 0.0000), Cl at (0.0000, 0.0000, 0.3732), Cl at (0.0000, 0.0000, 0.6268), Cl at (0.5000, 0.0000, 0.1134), Cl at (0.5000, 0.0000, 0.4462) and Cl at (0.5000, 0.0000, 0.7798).

16.
Entry from the Alexandria database: an optimized crystal structure of ScAlRe (PBE).

The calculation puts the density of states at the Fermi level at 15.35 states/eV per cell. As for the formation energy: 0.33 eV/atom. Its total energy is -7.1823 eV/atom.

The space group is F-43m (No. 216) and the conventional cell measures 6.2014, 6.2014 and 6.2014 Å, with angles of 90.00, 90.00 and 90.00 degrees. The asymmetric unit holds Sc at (0.0000, 0.0000, 0.0000), Al at (0.0000, 0.0000, 0.5000) and Re at (0.2500, 0.2500, 0.7500).

17.
Entry from the Alexandria database: an optimized crystal structure of HfFeBr3 (PBE).

The calculation puts the density of states at the Fermi level at 5.57 states/eV per cell. Its formation energy without anion corrections is 550.7 meV per atom. Its total energy is -4.1363 eV/atom.

The space group is Pm-3m (No. 221) and the conventional cell measures 4.7902, 4.7902 and 4.7902 Å, with angles of 90.00, 90.00 and 90.00 degrees. The asymmetric unit holds Hf at (0.0000, 0.0000, 0.0000), Fe at (0.5000, 0.5000, 0.5000) and Br at (0.0000, 0.5000, 0.5000).

18.
Entry from the Alexandria database: an optimized crystal structure of SrCe2Au3 (PBE).

The calculation puts the density of states at the Fermi level at 15.58 states/eV per cell. As for the formation energy: -0.64 eV/atom. Its total energy is -4.5402 eV/atom.

The space group is P4/mmm (No. 123) and the conventional cell measures 3.7366, 3.7366 and 11.3596 Å, with angles of 90.00, 90.00 and 90.00 degrees. The asymmetric unit holds Sr at (0.0000, 0.0000, 0.0000), Ce at (0.0000, 0.0000, 0.3373), Au at (0.5000, 0.5000, 0.1885) and Au at (0.5000, 0.5000, 0.5000).

19.
Entry from the Alexandria database: an optimized crystal structure of La6RuAu2O (PBE).

The calculation puts the density of states at the Fermi level at 18.72 states/eV per cell. Its formation energy without anion corrections is -955.6 meV per atom. Its total energy is -5.9909 eV/atom.

The space group is P2_1/c (No. 14) and the conventional cell measures 6.9264, 7.6487 and 12.5025 Å, with angles of 90.00, 122.32 and 90.00 degrees. The asymmetric unit holds La at (0.1155, 0.2018, 0.4439), La at (0.2548, 0.6805, 0.4408), La at (0.3682, 0.0289, 0.2430), Ru at (0.5000, 0.0000, 0.5000), Au at (0.1839, 0.0976, 0.7378) and O at (0.0000, 0.0000, 0.0000).

20.
Entry from the Alexandria database: an optimized crystal structure of TaTcSCl2 (PBE).

The calculation puts the density of states at the Fermi level at 6.34 states/eV per cell. Its formation energy without anion corrections is 886.6 meV per atom. Its total energy is -5.1212 eV/atom.

The space group is P4/mmm (No. 123) and the conventional cell measures 4.6641, 4.6641 and 4.8366 Å, with angles of 90.00, 90.00 and 90.00 degrees. The asymmetric unit holds Ta at (0.0000, 0.0000, 0.0000), Tc at (0.5000, 0.5000, 0.5000), S at (0.5000, 0.5000, 0.0000) and Cl at (0.0000, 0.5000, 0.5000).

21.
Entry from the Alexandria database: an optimized crystal structure of Pm4Ga3Pd (PBE).

The calculation puts the density of states at the Fermi level at 8.84 states/eV per cell. As for the formation energy: -0.62 eV/atom. Its total energy is -4.7843 eV/atom.

The space group is Pmm2 (No. 25) and the conventional cell measures 4.2853, 4.3581 and 10.8853 Å, with angles of 90.00, 90.00 and 90.00 degrees. The asymmetric unit holds Pm at (0.0000, 0.0000, 0.0000), Pm at (0.0000, 0.5000, 0.4873), Pm at (0.5000, 0.0000, 0.7082), Pm at (0.5000, 0.5000, 0.2116), Ga at (0.0000, 0.5000, 0.7785), Ga at (0.5000, 0.0000, 0.4240), Ga at (0.5000, 0.5000, 0.9263) and Pd at (0.0000, 0.0000, 0.2765).

22.
Entry from the Alexandria database: an optimized crystal structure of ZnHgN2 (PBE).

The calculation puts the density of states at the Fermi level at 6.16 states/eV per cell. Its formation energy without anion corrections is 1253.1 meV per atom. Its total energy is -3.3035 eV/atom.

The space group is R-3m (No. 166, hexagonal axes) and the conventional cell measures 3.5356, 3.5356 and 17.4830 Å, with angles of 90.00, 90.00 and 120.00 degrees. The asymmetric unit holds Zn at (0.0000, 0.0000, 0.0000), Hg at (0.0000, 0.0000, 0.5000) and N at (0.0000, 0.0000, 0.1060).

23.
Entry from the Alexandria database: an optimized crystal structure of TbMn3Ge2 (PBE).

The calculation puts the density of states at the Fermi level at 17.23 states/eV per cell. As for the formation energy: -0.35 eV/atom. Its total energy is -7.2467 eV/atom.

The space group is C2/m (No. 12) and the conventional cell measures 14.6794, 3.9313 and 7.3384 Å, with angles of 90.00, 115.37 and 90.00 degrees. The asymmetric unit holds Tb at (0.1439, 0.0000, 0.0610), Mn at (0.0457, 0.0000, 0.3985), Mn at (0.0824, 0.5000, 0.6268), Mn at (0.1932, 0.5000, 0.4748), Ge at (0.0216, 0.5000, 0.1878) and Ge at (0.2002, 0.0000, 0.7119).

24.
Entry from the Alexandria database: an optimized crystal structure of Tb4InRu2Pt (PBE).

The calculation puts the density of states at the Fermi level at 14.66 states/eV per cell. As for the formation energy: -0.54 eV/atom. Its total energy is -6.2764 eV/atom.

The space group is R-3m (No. 166, hexagonal axes) and the conventional cell measures 4.9812, 4.9812 and 24.4992 Å, with angles of 90.00, 90.00 and 120.00 degrees. The asymmetric unit holds Tb at (0.0000, 0.0000, 0.1195), Tb at (0.0000, 0.0000, 0.3707), In at (0.0000, 0.0000, 0.5000), Ru at (0.0000, 0.0000, 0.2480) and Pt at (0.0000, 0.0000, 0.0000).

25.
Entry from the Alexandria database: an optimized crystal structure of Nb2IrPd2 (PBE).

The calculation puts the density of states at the Fermi level at 7.57 states/eV per cell. As for the formation energy: -0.09 eV/atom. Its total energy is -7.9718 eV/atom.

The space group is P4/mbm (No. 127) and the conventional cell measures 7.4185, 7.4185 and 3.0145 Å, with angles of 90.00, 90.00 and 90.00 degrees. The asymmetric unit holds Nb at (0.1777, 0.3223, 0.0000), Ir at (0.0000, 0.0000, 0.5000) and Pd at (0.1243, 0.6243, 0.5000).